No. 1
## Ta4BeMo (SCAN)

Data for Ta4BeMo at its PBEsol-relaxed geometry.

Cell lengths 5.2977, 5.2977, 5.2977 Å; angles 60.00, 60.00, 60.00 degrees
With the nearest neighbours (Å) after each atom.
Sites, in units of the cell vectors:
Ta  0.1241  0.1241  0.1241  6 Ta 2.63-2.67
Ta  0.1241  0.1241  0.6276  6 Ta 2.63-2.67
Ta  0.1241  0.6276  0.1241  6 Ta 2.63-2.67
Ta  0.6276  0.1241  0.1241  6 Ta 2.63-2.67
Be  0.5000  0.5000  0.5000  12 Ta 3.11, 4 Mo 3.24
Mo  0.7500  0.7500  0.7500  12 Ta 3.10, 4 Be 3.24

The calculation puts the calculated formation energy at 638 meV per atom. Its density of states at the Fermi level is 6.794 states/eV per cell. Its space group is F-43m, No. 216.

=====

No. 2
## GaBi3H (SCAN)

Data for GaBi3H at its PBEsol-relaxed geometry.

Cell lengths 4.8786, 4.8786, 4.8786 Å; angles 90.00, 90.00, 90.00 degrees
With the nearest neighbours (Å) after each atom.
Sites, in units of the cell vectors:
Ga  0.0000  0.0000  0.0000  12 Bi 3.45
Bi  0.0000  0.5000  0.5000  2 H 2.44
Bi  0.5000  0.0000  0.5000  2 H 2.44
Bi  0.5000  0.5000  0.0000  2 H 2.44
H  0.5000  0.5000  0.5000  6 Bi 2.44

Its density of states at the Fermi level is 2.339 states/eV per cell. Its space group is Pm-3m, No. 221.

=====

No. 3
## LiZn2Ga2 (SCAN)

Data for LiZn2Ga2 at its PBEsol-relaxed geometry.

Cell lengths 6.4463, 6.4463, 6.4463 Å; angles 145.80, 145.80, 49.15 degrees
With the nearest neighbours (Å) after each atom.
Sites, in units of the cell vectors:
Li  0.0000  0.0000  0.0000  8 Ga 2.94
Zn  0.2500  0.7500  0.5000  4 Ga 2.56, 4 Zn 2.68
Zn  0.7500  0.2500  0.5000  4 Ga 2.56, 4 Zn 2.68
Ga  0.3965  0.3965  0.0000  1 Ga 2.43, 4 Zn 2.56
Ga  0.6035  0.6035  0.0000  1 Ga 2.43, 4 Zn 2.56

The calculation puts the calculated formation energy at -126 meV per atom. Its density of states at the Fermi level is 1.287 states/eV per cell. Its space group is I4/mmm, No. 139.

=====

No. 4
## MgZnAs2 (SCAN)

Data for MgZnAs2 at its PBEsol-relaxed geometry.

Cell lengths 4.9668, 4.9668, 4.9668 Å; angles 134.09, 121.97, 76.98 degrees
With the nearest neighbours (Å) after each atom.
Sites, in units of the cell vectors:
Mg  0.0000  0.0000  0.0000  8 As 2.86-3.00, 4 Zn 3.09
Zn  0.5000  0.5000  0.0000  4 As 2.63
As  0.2703  0.7703  0.5000  2 Zn 2.63, 2 Mg 2.86
As  0.7297  0.2297  0.5000  2 Zn 2.63, 2 Mg 2.86

The calculation puts the calculated formation energy at -19 meV per atom. Its density of states at the Fermi level is 1.184 states/eV per cell. The value obtained for the energy above the most stable polymorph in this dataset is 0.1010 eV per atom. Its space group is Immm, No. 71.

=====

No. 5
## MgRhAu2 (SCAN)

Data for MgRhAu2 at its PBEsol-relaxed geometry.

Cell lengths 4.8134, 4.8134, 4.8134 Å; angles 129.98, 129.98, 73.44 degrees
With the nearest neighbours (Å) after each atom.
Sites, in units of the cell vectors:
Mg  0.0000  0.0000  0.0000  8 Au 2.80, 4 Rh 2.88
Rh  0.5000  0.5000  0.0000  8 Au 2.80, 4 Mg 2.88
Au  0.2500  0.7500  0.5000  4 Mg 2.80, 4 Rh 2.80, 4 Au 2.88
Au  0.7500  0.2500  0.5000  4 Mg 2.80, 4 Rh 2.80, 4 Au 2.88

The calculation puts the calculated formation energy at -345 meV per atom. Its density of states at the Fermi level is 3.009 states/eV per cell. Its space group is I4/mmm, No. 139.

=====

No. 6
## Be2CrW2 (SCAN)

Data for Be2CrW2 at its PBEsol-relaxed geometry.

Cell lengths 5.9714, 5.9714, 3.1750 Å; angles 90.00, 90.00, 90.00 degrees
With the nearest neighbours (Å) after each atom.
Sites, in units of the cell vectors:
Be  0.1200  0.3800  0.0000  1 Be 2.03
Be  0.3800  0.8800  0.0000  1 Be 2.03
Be  0.6200  0.1200  0.0000  1 Be 2.03
Be  0.8800  0.6200  0.0000  1 Be 2.03
Cr  0.0000  0.0000  0.0000  4 Be 2.38
Cr  0.5000  0.5000  0.0000  4 Be 2.38
W  0.1777  0.6777  0.5000  6 Be 2.33-2.41
W  0.3223  0.1777  0.5000  6 Be 2.33-2.41
W  0.6777  0.8223  0.5000  6 Be 2.33-2.41
W  0.8223  0.3223  0.5000  6 Be 2.33-2.41

The calculation puts the calculated formation energy at -103 meV per atom. Its density of states at the Fermi level is 3.492 states/eV per cell. Its space group is P4/mbm, No. 127.

=====

No. 7
## TlBr2 (SCAN)

Data for TlBr2 at its PBEsol-relaxed geometry.

Cell lengths 7.9314, 10.1267, 10.3709 Å; angles 90.00, 90.00, 90.00 degrees
With the nearest neighbours (Å) after each atom.
Sites, in units of the cell vectors:
Tl  0.1763  0.2500  0.2500  8 Br 3.32-3.40
Tl  0.2500  0.0000  0.6765  4 Br 2.59-2.60
Tl  0.2500  0.5000  0.8235  4 Br 2.59-2.60
Tl  0.3237  0.7500  0.2500  8 Br 3.32-3.40
Tl  0.6763  0.2500  0.7500  8 Br 3.32-3.40
Tl  0.7500  0.0000  0.3235  4 Br 2.59-2.60
Tl  0.7500  0.5000  0.1765  4 Br 2.59-2.60
Tl  0.8237  0.7500  0.7500  8 Br 3.32-3.40
Br  0.0079  0.5488  0.3243  1 Tl 2.60
Br  0.0079  0.9512  0.1757  1 Tl 2.60
Br  0.1422  0.6972  0.9600  1 Tl 2.59
Br  0.1422  0.8028  0.5400  1 Tl 2.59
Br  0.3578  0.1972  0.5400  1 Tl 2.59
Br  0.3578  0.3028  0.9600  1 Tl 2.59
Br  0.4921  0.0488  0.1757  1 Tl 2.60
Br  0.4921  0.4512  0.3243  1 Tl 2.60
Br  0.5079  0.5488  0.6757  1 Tl 2.60
Br  0.5079  0.9512  0.8243  1 Tl 2.60
Br  0.6422  0.6972  0.0400  1 Tl 2.59
Br  0.6422  0.8028  0.4600  1 Tl 2.59
Br  0.8578  0.1972  0.4600  1 Tl 2.59
Br  0.8578  0.3028  0.0400  1 Tl 2.59
Br  0.9921  0.0488  0.8243  1 Tl 2.60
Br  0.9921  0.4512  0.6757  1 Tl 2.60

Its density of states at the Fermi level is 0.000 states/eV per cell. Its space group is Pnna, No. 52. As for the formation energy from raw total energies: -0.656 eV per atom.

=====

No. 8
## CrAsS2 (SCAN)

Data for CrAsS2 at its PBEsol-relaxed geometry.

Cell lengths 7.7034, 7.7034, 7.7034 Å; angles 27.43, 27.43, 27.43 degrees
With the nearest neighbours (Å) after each atom.
Sites, in units of the cell vectors:
Cr  0.0000  0.0000  0.0000  2 S 2.29
As  0.5000  0.5000  0.5000  6 S 2.54
S  0.1031  0.1031  0.1031  1 Cr 2.29, 3 As 2.54
S  0.8969  0.8969  0.8969  1 Cr 2.29, 3 As 2.54

Its density of states at the Fermi level is 0.954 states/eV per cell. Its space group is R-3m, No. 166. As for the formation energy from raw total energies: 0.009 eV per atom.

=====

No. 9
## ZrTi3O (SCAN)

Data for ZrTi3O at its PBEsol-relaxed geometry.

Cell lengths 4.7194, 4.7194, 4.7194 Å; angles 90.00, 90.00, 90.00 degrees
With the nearest neighbours (Å) after each atom.
Sites, in units of the cell vectors:
Zr  0.0000  0.0000  0.0000  6 Ti 2.36
Ti  0.0000  0.0000  0.5000  2 Zr 2.36
Ti  0.0000  0.5000  0.0000  2 Zr 2.36
Ti  0.5000  0.0000  0.0000  2 Zr 2.36
O  0.5000  0.5000  0.5000  12 Ti 3.34

Its density of states at the Fermi level is 5.393 states/eV per cell. The value obtained for the energy above the most stable polymorph in this dataset is 2.8075 eV per atom. Its space group is Pm-3m, No. 221. As for the formation energy from raw total energies: 1.661 eV per atom.

=====

No. 10
## Li2SiGe (SCAN)

Data for Li2SiGe at its PBEsol-relaxed geometry.

Cell lengths 4.3225, 4.3225, 4.3225 Å; angles 60.00, 60.00, 60.00 degrees
With the nearest neighbours (Å) after each atom.
Sites, in units of the cell vectors:
Li  0.2500  0.2500  0.2500  4 Ge 2.65, 4 Si 2.65
Li  0.7500  0.7500  0.7500  4 Ge 2.65, 4 Si 2.65
Si  0.0000  0.0000  0.0000  8 Li 2.65
Ge  0.5000  0.5000  0.5000  8 Li 2.65

Its density of states at the Fermi level is 0.962 states/eV per cell. Its space group is Fm-3m, No. 225. As for the formation energy from raw total energies: -0.072 eV per atom.

=====

Number 1: total energy -50.291 eV per atom. Number 2: total energy -50.632 eV per atom. Number 3: total energy -12.549 eV per atom. Number 4: total energy -14.737 eV per atom. Number 5: total energy -44.610 eV per atom. Number 6: total energy -33.397 eV per atom. Number 7: total energy -37.749 eV per atom. Number 8: total energy -14.449 eV per atom. Number 9: total energy -15.343 eV per atom. Number 10: total energy -8.543 eV per atom.